1.
! Ac2PbSe PBE optimized geometry; values from VASP
! Total moment   0.000 μB per formula unit
! Excess energy over the best structure of this formula in the dataset   263 meV per atom
&SYSTEM
  ibrav = 0, nat = 4, ntyp = 3
/
ATOMIC_SPECIES
Pb 207.20 Pb.upf
Se 78.96 Se.upf
Ac 227.00 Ac.upf
CELL_PARAMETERS angstrom
5.7170 0.0000 0.0000
2.8585 4.9511 0.0000
2.8585 1.6504 4.6679
ATOMIC_POSITIONS angstrom
Pb 0.0000 0.0000 0.0000
Se 5.7170 3.3007 2.3340
Ac 2.8585 1.6504 1.1670
Ac 8.5755 4.9511 3.5009

2.
! AcPbSe2 PBE optimized geometry; values from VASP
! Total moment   0.958 μB per formula unit
&SYSTEM
  ibrav = 0, nat = 4, ntyp = 3
/
ATOMIC_SPECIES
Se 78.96 Se.upf
Ac 227.00 Ac.upf
Pb 207.20 Pb.upf
CELL_PARAMETERS angstrom
-1.7871 -1.0204 3.8356
-4.1064 -1.4330 0.1754
0.5441 -8.1008 0.5683
ATOMIC_POSITIONS angstrom
Se -0.0704 -6.3168 0.7566
Se -1.3541 -2.5899 1.1500
Ac -2.6713 -5.2871 2.2886
Pb -3.9284 -1.6375 2.6738

Computed energy relative to the elements, uncorrected (meV per atom) in order:
-957; -1133
Computed density (g/cm³) in order:
9.30; 7.74